# MgTaCuSb

A relaxed structure of MgTaCuSb (PBE-GGA, the Open Quantum Materials Database).

Summary:
Energy above the lowest structure with this stoichiometry in meV/atom: 197

a = 4.714 Å, b = 4.714 Å, c = 4.714 Å
α = 60.00°, β = 60.00°, γ = 60.00°
Sites, in units of the cell vectors:
1 Mg 0.000 0.000 0.000
2 Ta 0.750 0.750 0.750
3 Cu 0.500 0.500 0.500
4 Sb 0.250 0.250 0.250

=====

# MgCuTcSb

A relaxed structure of MgCuTcSb (PBE-GGA, the Open Quantum Materials Database).

Summary:
Energy above the lowest structure with this stoichiometry in meV/atom: 0

a = 4.521 Å, b = 4.521 Å, c = 4.521 Å
α = 60.00°, β = 60.00°, γ = 60.00°
Sites, in units of the cell vectors:
1 Mg 0.000 0.000 0.000
2 Cu 0.750 0.750 0.750
3 Tc 0.250 0.250 0.250
4 Sb 0.500 0.500 0.500

=====

# MgZrCuSb

A relaxed structure of MgZrCuSb (PBE-GGA, the Open Quantum Materials Database).

Summary:
Energy above the lowest structure with this stoichiometry in meV/atom: 99

a = 4.837 Å, b = 4.837 Å, c = 4.837 Å
α = 60.00°, β = 60.00°, γ = 60.00°
Sites, in units of the cell vectors:
1 Mg 0.000 0.000 0.000
2 Zr 0.750 0.750 0.750
3 Cu 0.500 0.500 0.500
4 Sb 0.250 0.250 0.250

=====

# MgZrCuSb

A relaxed structure of MgZrCuSb (PBE-GGA, the Open Quantum Materials Database).

Summary:
Energy above the lowest structure with this stoichiometry in meV/atom: 0

a = 4.831 Å, b = 4.831 Å, c = 4.831 Å
α = 60.00°, β = 60.00°, γ = 60.00°
Sites, in units of the cell vectors:
1 Mg 0.000 0.000 0.000
2 Zr 0.250 0.250 0.250
3 Cu 0.750 0.750 0.750
4 Sb 0.500 0.500 0.500

=====

# Mg2ScCu5

A relaxed structure of Mg2ScCu5 (PBE-GGA, the Open Quantum Materials Database).

Summary:
Calculated total energy in eV/atom: -3.578

a = 4.351 Å, b = 4.351 Å, c = 6.175 Å
α = 90.00°, β = 90.00°, γ = 90.00°
Sites, in units of the cell vectors:
1 Mg 0.000 0.000 0.000
2 Mg 0.500 0.500 0.500
3 Sc 0.000 0.000 0.500
4 Cu 0.000 0.500 0.231
5 Cu 0.000 0.500 0.769
6 Cu 0.500 0.000 0.231
7 Cu 0.500 0.000 0.769
8 Cu 0.500 0.500 0.000

=====

# Mg2ScCu5

A relaxed structure of Mg2ScCu5 (PBE-GGA, the Open Quantum Materials Database).

Summary:
Calculated total energy in eV/atom: -3.578

a = 4.351 Å, b = 4.351 Å, c = 6.176 Å
α = 90.00°, β = 90.00°, γ = 90.00°
Sites, in units of the cell vectors:
1 Mg 0.000 0.000 0.000
2 Mg 0.500 0.500 0.500
3 Sc 0.000 0.000 0.500
4 Cu 0.000 0.500 0.231
5 Cu 0.000 0.500 0.769
6 Cu 0.500 0.000 0.231
7 Cu 0.500 0.000 0.769
8 Cu 0.500 0.500 0.000

=====

# MgScCuSe3

A relaxed structure of MgScCuSe3 (PBE-GGA, the Open Quantum Materials Database).

Summary:
Energy above the lowest structure with this stoichiometry in meV/atom: 28

a = 6.597 Å, b = 6.597 Å, c = 10.230 Å
α = 90.00°, β = 90.00°, γ = 146.95°
Sites, in units of the cell vectors:
1 Mg 0.229 0.771 0.750
2 Mg 0.771 0.229 0.250
3 Sc 0.000 0.000 0.000
4 Sc 0.000 0.000 0.500
5 Cu 0.478 0.522 0.250
6 Cu 0.522 0.478 0.750
7 Se 0.103 0.897 0.250
8 Se 0.356 0.644 0.069
9 Se 0.356 0.644 0.431
10 Se 0.644 0.356 0.569
11 Se 0.644 0.356 0.931
12 Se 0.897 0.103 0.750

=====

# MgScCuSe3

A relaxed structure of MgScCuSe3 (PBE-GGA, the Open Quantum Materials Database).

Summary:
Energy above the lowest structure with this stoichiometry in meV/atom: 35

a = 10.262 Å, b = 3.804 Å, c = 12.672 Å
α = 90.00°, β = 90.00°, γ = 90.00°
Sites, in units of the cell vectors:
1 Mg 0.192 0.250 0.003
2 Mg 0.308 0.750 0.503
3 Mg 0.692 0.250 0.497
4 Mg 0.808 0.750 0.997
5 Sc 0.011 0.750 0.263
6 Sc 0.489 0.250 0.763
7 Sc 0.511 0.750 0.237
8 Sc 0.989 0.250 0.737
9 Cu 0.249 0.750 0.774
10 Cu 0.251 0.250 0.274
11 Cu 0.749 0.750 0.726
12 Cu 0.751 0.250 0.226
13 Se 0.058 0.750 0.889
14 Se 0.077 0.250 0.398
15 Se 0.244 0.250 0.651
16 Se 0.256 0.750 0.151
17 Se 0.423 0.750 0.898
18 Se 0.442 0.250 0.389
19 Se 0.558 0.750 0.611
20 Se 0.577 0.250 0.102
21 Se 0.744 0.250 0.849
22 Se 0.756 0.750 0.349
23 Se 0.923 0.750 0.602
24 Se 0.942 0.250 0.111

=====

# MgScCuSe3

A relaxed structure of MgScCuSe3 (PBE-GGA, the Open Quantum Materials Database).

Summary:
Energy above the lowest structure with this stoichiometry in meV/atom: 0

a = 7.436 Å, b = 3.759 Å, c = 9.022 Å
α = 90.00°, β = 102.06°, γ = 90.00°
Sites, in units of the cell vectors:
1 Mg 0.212 0.250 0.279
2 Mg 0.788 0.750 0.721
3 Sc 0.318 0.750 0.825
4 Sc 0.682 0.250 0.175
5 Cu 0.083 0.250 0.584
6 Cu 0.917 0.750 0.416
7 Se 0.067 0.250 0.848
8 Se 0.273 0.750 0.518
9 Se 0.410 0.750 0.146
10 Se 0.590 0.250 0.854
11 Se 0.727 0.250 0.482
12 Se 0.933 0.750 0.152

=====

# MgScCuTe2Se

A relaxed structure of MgScCuTe2Se (PBE-GGA, the Open Quantum Materials Database).

Summary:
Calculated total energy in eV/atom: -4.355

a = 7.069 Å, b = 7.069 Å, c = 10.348 Å
α = 90.00°, β = 90.00°, γ = 147.45°
Sites, in units of the cell vectors:
1 Mg 0.240 0.760 0.750
2 Mg 0.760 0.240 0.250
3 Sc 0.500 0.500 0.000
4 Sc 0.500 0.500 0.500
5 Cu 0.017 0.983 0.250
6 Cu 0.983 0.017 0.750
7 Te 0.149 0.851 0.068
8 Te 0.149 0.851 0.432
9 Te 0.851 0.149 0.568
10 Te 0.851 0.149 0.932
11 Se 0.409 0.591 0.250
12 Se 0.591 0.409 0.750

=====

# MgScCuTeSe2

A relaxed structure of MgScCuTeSe2 (PBE-GGA, the Open Quantum Materials Database).

Summary:
Calculated total energy in eV/atom: -4.581

a = 6.851 Å, b = 6.851 Å, c = 10.547 Å
α = 90.00°, β = 90.00°, γ = 147.70°
Sites, in units of the cell vectors:
1 Mg 0.200 0.800 0.750
2 Mg 0.800 0.200 0.250
3 Sc 0.000 0.000 0.000
4 Sc 0.000 0.000 0.500
5 Cu 0.476 0.524 0.250
6 Cu 0.524 0.476 0.750
7 Te 0.112 0.888 0.250
8 Te 0.888 0.112 0.750
9 Se 0.362 0.638 0.069
10 Se 0.362 0.638 0.431
11 Se 0.638 0.362 0.569
12 Se 0.638 0.362 0.931

=====

# MgScCuSi

A relaxed structure of MgScCuSi (PBE-GGA, the Open Quantum Materials Database).

Summary:
Energy above the lowest structure with this stoichiometry in meV/atom: 0

a = 4.528 Å, b = 4.528 Å, c = 4.528 Å
α = 60.00°, β = 60.00°, γ = 60.00°
Sites, in units of the cell vectors:
1 Mg 0.000 0.000 0.000
2 Sc 0.500 0.500 0.500
3 Cu 0.250 0.250 0.250
4 Si 0.750 0.750 0.750

=====

# MgScCuSi

A relaxed structure of MgScCuSi (PBE-GGA, the Open Quantum Materials Database).

Summary:
Energy above the lowest structure with this stoichiometry in meV/atom: 290

a = 4.508 Å, b = 4.508 Å, c = 4.508 Å
α = 60.00°, β = 60.00°, γ = 60.00°
Sites, in units of the cell vectors:
1 Mg 0.000 0.000 0.000
2 Sc 0.750 0.750 0.750
3 Cu 0.500 0.500 0.500
4 Si 0.250 0.250 0.250

=====

# MgScCuSi

A relaxed structure of MgScCuSi (PBE-GGA, the Open Quantum Materials Database).

Summary:
Energy above the lowest structure with this stoichiometry in meV/atom: 210

a = 4.504 Å, b = 4.504 Å, c = 4.504 Å
α = 60.00°, β = 60.00°, γ = 60.00°
Sites, in units of the cell vectors:
1 Mg 0.000 0.000 0.000
2 Sc 0.750 0.750 0.750
3 Cu 0.250 0.250 0.250
4 Si 0.500 0.500 0.500

=====

# MgScCuSn

A relaxed structure of MgScCuSn (PBE-GGA, the Open Quantum Materials Database).

Summary:
Energy above the lowest structure with this stoichiometry in meV/atom: 157

a = 4.776 Å, b = 4.776 Å, c = 4.776 Å
α = 60.00°, β = 60.00°, γ = 60.00°
Sites, in units of the cell vectors:
1 Mg 0.000 0.000 0.000
2 Sc 0.750 0.750 0.750
3 Cu 0.250 0.250 0.250
4 Sn 0.500 0.500 0.500

=====

# MgScCu4Sn2

A relaxed structure of MgScCu4Sn2 (PBE-GGA, the Open Quantum Materials Database).

Summary:
Calculated total energy in eV/atom: -4.041

a = 4.456 Å, b = 4.456 Å, c = 6.622 Å
α = 90.00°, β = 90.00°, γ = 90.00°
Sites, in units of the cell vectors:
1 Mg 0.000 0.000 0.000
2 Sc 0.500 0.500 0.500
3 Cu 0.000 0.500 0.242
4 Cu 0.000 0.500 0.758
5 Cu 0.500 0.000 0.242
6 Cu 0.500 0.000 0.758
7 Sn 0.000 0.000 0.500
8 Sn 0.500 0.500 0.000

=====

# MgScCuSn

A relaxed structure of MgScCuSn (PBE-GGA, the Open Quantum Materials Database).

Summary:
Energy above the lowest structure with this stoichiometry in meV/atom: 179

a = 4.762 Å, b = 4.762 Å, c = 4.762 Å
α = 60.00°, β = 60.00°, γ = 60.00°
Sites, in units of the cell vectors:
1 Mg 0.000 0.000 0.000
2 Sc 0.250 0.250 0.250
3 Cu 0.500 0.500 0.500
4 Sn 0.750 0.750 0.750

=====

# MgScCuSn

A relaxed structure of MgScCuSn (PBE-GGA, the Open Quantum Materials Database).

Summary:
Energy above the lowest structure with this stoichiometry in meV/atom: 0

a = 4.785 Å, b = 4.785 Å, c = 4.785 Å
α = 60.00°, β = 60.00°, γ = 60.00°
Sites, in units of the cell vectors:
1 Mg 0.000 0.000 0.000
2 Sc 0.500 0.500 0.500
3 Cu 0.750 0.750 0.750
4 Sn 0.250 0.250 0.250

=====

# MgScTlCu

A relaxed structure of MgScTlCu (PBE-GGA, the Open Quantum Materials Database).

Summary:
Energy above the lowest structure with this stoichiometry in meV/atom: 3

a = 4.779 Å, b = 4.779 Å, c = 4.779 Å
α = 60.00°, β = 60.00°, γ = 60.00°
Sites, in units of the cell vectors:
1 Mg 0.000 0.000 0.000
2 Sc 0.250 0.250 0.250
3 Tl 0.500 0.500 0.500
4 Cu 0.750 0.750 0.750

=====

# MgScTlCu

A relaxed structure of MgScTlCu (PBE-GGA, the Open Quantum Materials Database).

Summary:
Energy above the lowest structure with this stoichiometry in meV/atom: 0

a = 4.765 Å, b = 4.765 Å, c = 4.765 Å
α = 60.00°, β = 60.00°, γ = 60.00°
Sites, in units of the cell vectors:
1 Mg 0.000 0.000 0.000
2 Sc 0.750 0.750 0.750
3 Tl 0.250 0.250 0.250
4 Cu 0.500 0.500 0.500

=====

# MgScZn2Cu4

A relaxed structure of MgScZn2Cu4 (PBE-GGA, the Open Quantum Materials Database).

Summary:
Calculated total energy in eV/atom: -3.324

a = 4.315 Å, b = 4.315 Å, c = 6.086 Å
α = 90.00°, β = 90.00°, γ = 90.00°
Sites, in units of the cell vectors:
1 Mg 0.000 0.000 0.000
2 Sc 0.500 0.500 0.500
3 Zn 0.000 0.000 0.500
4 Zn 0.500 0.500 0.000
5 Cu 0.000 0.500 0.242
6 Cu 0.000 0.500 0.758
7 Cu 0.500 0.000 0.242
8 Cu 0.500 0.000 0.758

=====

# MgCu2SiTeSe3

A relaxed structure of MgCu2SiTeSe3 (PBE-GGA, the Open Quantum Materials Database).

Summary:
Calculated total energy in eV/atom: -3.962

a = 5.837 Å, b = 5.837 Å, c = 6.903 Å
α = 114.64°, β = 114.64°, γ = 89.69°
Sites, in units of the cell vectors:
1 Mg 0.000 0.000 0.000
2 Cu 0.267 0.741 0.533
3 Cu 0.741 0.267 0.533
4 Si 0.484 0.484 0.015
5 Te 0.863 0.863 0.287
6 Se 0.138 0.592 0.761
7 Se 0.389 0.389 0.273
8 Se 0.592 0.138 0.761

=====

# SmMgCuTeSe2

A relaxed structure of SmMgCuTeSe2 (PBE-GGA, the Open Quantum Materials Database).

Summary:
Calculated total energy in eV/atom: -4.393

a = 6.985 Å, b = 6.985 Å, c = 11.162 Å
α = 90.00°, β = 90.00°, γ = 147.15°
Sites, in units of the cell vectors:
1 Sm 0.000 0.000 0.000
2 Sm 0.000 0.000 0.500
3 Mg 0.202 0.798 0.750
4 Mg 0.798 0.202 0.250
5 Cu 0.477 0.523 0.250
6 Cu 0.523 0.477 0.750
7 Te 0.111 0.889 0.250
8 Te 0.889 0.111 0.750
9 Se 0.356 0.644 0.084
10 Se 0.356 0.644 0.416
11 Se 0.644 0.356 0.584
12 Se 0.644 0.356 0.916

=====

# MgCu2SnSe4

A relaxed structure of MgCu2SnSe4 (PBE-GGA, the Open Quantum Materials Database).

Summary:
Calculated total energy in eV/atom: -3.884

a = 8.236 Å, b = 7.078 Å, c = 6.749 Å
α = 90.00°, β = 90.00°, γ = 90.00°
Sites, in units of the cell vectors:
1 Mg 0.000 0.166 0.000
2 Mg 0.500 0.834 0.500
3 Cu 0.250 0.329 0.497
4 Cu 0.250 0.671 0.997
5 Cu 0.750 0.329 0.497
6 Cu 0.750 0.671 0.997
7 Sn 0.000 0.831 0.499
8 Sn 0.500 0.169 0.999
9 Se 0.000 0.182 0.615
10 Se 0.000 0.816 0.113
11 Se 0.249 0.351 0.136
12 Se 0.251 0.649 0.636
13 Se 0.500 0.184 0.613
14 Se 0.500 0.818 0.115
15 Se 0.749 0.649 0.636
16 Se 0.751 0.351 0.136

=====

# MgCu2SnSe4

A relaxed structure of MgCu2SnSe4 (PBE-GGA, the Open Quantum Materials Database).

Summary:
Calculated total energy in eV/atom: -3.889

a = 7.138 Å, b = 7.138 Å, c = 7.138 Å
α = 132.15°, β = 132.15°, γ = 70.00°
Sites, in units of the cell vectors:
1 Mg 0.000 0.000 0.000
2 Cu 0.500 0.500 0.000
3 Cu 0.750 0.250 0.500
4 Sn 0.250 0.750 0.500
5 Se 0.125 0.603 0.974
6 Se 0.397 0.372 0.523
7 Se 0.628 0.151 0.026
8 Se 0.849 0.875 0.477